# KSr2Ru

A geometry-optimized KSr2Ru structure (GGA-PBE, Alexandria via LeMat-Bulk).

```
4
Lattice="5.2078 -1.9053 0.0000 5.2078 1.9053 0.0000 -2.8164 0.0000 8.5848" Properties=species:S:1:pos:R:3 pbc="T T T"
K 0.0000 0.0000 0.0000
Sr 4.9089 0.0000 5.9451
Sr 7.6653 0.0000 3.4228
Ru 2.0424 0.0000 5.5983
```

Results
calculated volume: 170 Å³/cell
Fermi-level density of states: 4.2 states/eV/cell
energy of formation: 0.51 eV/atom